# 1
Tm2VFe | GGA-PBE | relaxed

Summary:
Space group   R-3m
V   21.349 Å³ per atom
DFT formation energy   0.707 eV per atom
Size of the total moment   3.28 μB/cell

a = 9.817 Å, b = 9.817 Å, c = 9.817 Å
α = 18.75°, β = 18.75°, γ = 18.75°
Positions (direct):
1 Tm 0.099 0.099 0.099
2 Tm 0.901 0.901 0.901
3 V 0.000 0.000 0.000
4 Fe 0.500 0.500 0.500



# 2
TmFeW | GGA-PBE | relaxed

Summary:
Space group   P2_1/m
V   20.004 Å³ per atom
DFT formation energy   0.191 eV per atom
Size of the total moment   0.00 μB/cell

a = 4.727 Å, b = 3.911 Å, c = 6.536 Å
α = 90.00°, β = 96.66°, γ = 90.00°
Positions (direct):
1 Tm 0.226 0.250 0.344
2 Tm 0.774 0.750 0.656
3 Fe 0.174 0.750 0.032
4 Fe 0.826 0.250 0.968
5 W 0.328 0.250 0.868
6 W 0.672 0.750 0.132



# 3
TmFe9W2 | GGA-PBE | relaxed

Summary:
Space group   R-3m
V   13.080 Å³ per atom
DFT formation energy   -0.009 eV per atom
Size of the total moment   15.39 μB/cell

a = 8.293 Å, b = 8.293 Å, c = 8.293 Å
α = 33.76°, β = 33.76°, γ = 33.76°
Positions (direct):
1 Tm 0.000 0.000 0.000
2 Fe 0.083 0.589 0.589
3 Fe 0.334 0.334 0.334
4 Fe 0.411 0.411 0.917
5 Fe 0.411 0.917 0.411
6 Fe 0.500 0.500 0.500
7 Fe 0.589 0.083 0.589
8 Fe 0.589 0.589 0.083
9 Fe 0.666 0.666 0.666
10 Fe 0.917 0.411 0.411
11 W 0.146 0.146 0.146
12 W 0.854 0.854 0.854



# 4
YTm6Fe2 | GGA-PBE | relaxed

Summary:
Space group   Immm
V   25.437 Å³ per atom
DFT formation energy   0.025 eV per atom
Size of the total moment   0.99 μB/cell

a = 8.413 Å, b = 8.413 Å, c = 8.413 Å
α = 111.60°, β = 108.99°, γ = 107.84°
Positions (direct):
1 Y 0.000 0.000 0.000
2 Y 0.500 0.500 0.000
3 Tm 0.024 0.242 0.782
4 Tm 0.187 0.283 0.470
5 Tm 0.187 0.717 0.904
6 Tm 0.322 0.004 0.683
7 Tm 0.322 0.639 0.317
8 Tm 0.460 0.242 0.218
9 Tm 0.540 0.758 0.782
10 Tm 0.678 0.361 0.683
11 Tm 0.678 0.996 0.317
12 Tm 0.813 0.283 0.096
13 Tm 0.813 0.717 0.530
14 Tm 0.976 0.758 0.218
15 Fe 0.109 0.609 0.500
16 Fe 0.309 0.000 0.309
17 Fe 0.691 0.000 0.691
18 Fe 0.891 0.391 0.500



# 5
Y3TmFe | GGA-PBE | relaxed

Summary:
Space group   Pm-3m
V   29.328 Å³ per atom
DFT formation energy   0.136 eV per atom
Size of the total moment   0.00 μB/cell

a = 5.273 Å, b = 5.273 Å, c = 5.273 Å
α = 90.00°, β = 90.00°, γ = 90.00°
Positions (direct):
1 Y 0.000 0.000 0.500
2 Y 0.000 0.500 0.000
3 Y 0.500 0.000 0.000
4 Tm 0.500 0.500 0.500
5 Fe 0.000 0.000 0.000



# 6
YTm2Fe | GGA-PBE | relaxed

Summary:
Distance to the lowest polymorph of the same formula   0.00 eV per formula unit
Space group   Pnma
V   24.614 Å³ per atom
DFT formation energy   -0.029 eV per atom
Size of the total moment   0.00 μB/cell

a = 7.041 Å, b = 9.018 Å, c = 6.202 Å
α = 90.00°, β = 90.00°, γ = 90.00°
Positions (direct):
1 Y 0.046 0.250 0.132
2 Y 0.454 0.750 0.632
3 Y 0.546 0.250 0.368
4 Y 0.954 0.750 0.868
5 Tm 0.174 0.066 0.670
6 Tm 0.174 0.434 0.670
7 Tm 0.326 0.566 0.170
8 Tm 0.326 0.934 0.170
9 Tm 0.674 0.066 0.830
10 Tm 0.674 0.434 0.830
11 Tm 0.826 0.566 0.330
12 Tm 0.826 0.934 0.330
13 Fe 0.111 0.750 0.459
14 Fe 0.389 0.250 0.959
15 Fe 0.611 0.750 0.041
16 Fe 0.889 0.250 0.541



# 7
YTm2Fe | GGA-PBE | relaxed

Summary:
Distance to the lowest polymorph of the same formula   0.30 eV per formula unit
Space group   P4/mmm
V   24.576 Å³ per atom
DFT formation energy   0.046 eV per atom
Size of the total moment   0.00 μB/cell

a = 3.316 Å, b = 3.316 Å, c = 8.941 Å
α = 90.00°, β = 90.00°, γ = 90.00°
Positions (direct):
1 Y 0.000 0.000 0.000
2 Tm 0.500 0.500 0.323
3 Tm 0.500 0.500 0.677
4 Fe 0.000 0.000 0.500



# 8
YTm3Fe | GGA-PBE | relaxed

Summary:
Distance to the lowest polymorph of the same formula   0.37 eV per formula unit
Space group   Pm-3m
V   28.034 Å³ per atom
DFT formation energy   0.081 eV per atom
Size of the total moment   0.00 μB/cell

a = 5.195 Å, b = 5.195 Å, c = 5.195 Å
α = 90.00°, β = 90.00°, γ = 90.00°
Positions (direct):
1 Y 0.000 0.000 0.000
2 Tm 0.000 0.500 0.500
3 Tm 0.500 0.000 0.500
4 Tm 0.500 0.500 0.000
5 Fe 0.500 0.500 0.500